No. 1
A relaxed PrGeH crystal. Source: Alexandria, functional PBE.

Cell lengths 4.265, 4.108, 6.433 Å; angles 90.00, 70.60, 90.00 degrees
Positions (direct):
Pr  0.647  0.250  0.206
Pr  0.353  0.750  0.794
Ge  0.938  0.250  0.625
Ge  0.062  0.750  0.375
H  0.245  0.250  0.009
H  0.755  0.750  0.991

Summary:
- energy (eV/atom) = -5.003

No. 2
A relaxed CsMg2TlZn crystal. Source: Alexandria, functional PBE.

Cell lengths 5.364, 5.806, 5.364 Å; angles 90.00, 90.00, 90.00 degrees
Positions (direct):
Cs  0.500  0.500  0.500
Tl  0.000  0.500  0.000
Mg  0.000  0.000  0.500
Mg  0.500  0.000  0.000
Zn  0.000  0.000  0.000

Summary:
- calculated formation energy (kJ/mol of formula units) = 81
- energy (eV/atom) = -1.368

No. 3
A relaxed HfSiRh crystal. Source: Alexandria, functional PBE.

Cell lengths 3.927, 6.507, 7.448 Å; angles 90.00, 90.00, 90.00 degrees
Positions (direct):
Hf  0.250  0.521  0.184
Hf  0.750  0.479  0.816
Hf  0.250  0.021  0.316
Hf  0.750  0.979  0.684
Si  0.250  0.774  0.882
Si  0.750  0.226  0.118
Si  0.250  0.274  0.618
Si  0.750  0.726  0.382
Rh  0.750  0.849  0.065
Rh  0.250  0.151  0.935
Rh  0.750  0.349  0.435
Rh  0.250  0.651  0.565

Summary:
- ΔE_f (raw) (eV/atom) = -1.0734
- energy (eV/atom) = -8.649

No. 4
A relaxed Rb2Pb2Br7 crystal. Source: Alexandria, functional PBE.

Cell lengths 7.367, 8.160, 7.367 Å; angles 90.00, 97.80, 90.00 degrees
Positions (direct):
Rb  0.765  0.500  0.765
Rb  0.235  0.500  0.235
Pb  0.727  0.000  0.273
Pb  0.273  0.000  0.727
Br  0.000  0.240  0.500
Br  0.500  0.760  0.000
Br  0.000  0.760  0.500
Br  0.500  0.240  0.000
Br  0.000  0.000  0.000
Br  0.500  0.775  0.500
Br  0.500  0.225  0.500

Summary:
- ΔE_f (raw) (eV/atom) = -1.0487
- energy (eV/atom) = -2.963

No. 5
A relaxed PrEr2TmSc2 crystal. Source: Alexandria, functional PBE.

Cell lengths 3.354, 6.230, 17.379 Å; angles 90.00, 90.00, 90.00 degrees
Positions (direct):
Pr  0.000  0.000  0.000
Pr  0.500  0.500  0.500
Er  0.500  0.715  0.307
Er  0.500  0.285  0.693
Er  0.000  0.785  0.807
Er  0.000  0.215  0.193
Tm  0.500  0.500  0.000
Tm  0.000  0.000  0.500
Sc  0.500  0.211  0.354
Sc  0.000  0.711  0.146
Sc  0.500  0.789  0.646
Sc  0.000  0.289  0.854

Summary:
- calculated formation energy (kJ/mol of formula units) = 162
- energy (eV/atom) = -4.893

No. 6
A relaxed Nd3Dy2Hg2 crystal. Source: Alexandria, functional PBE.

Cell lengths 5.472, 5.467, 8.656 Å; angles 108.42, 90.00, 120.03 degrees
Positions (direct):
Nd  0.500  0.000  0.000
Nd  0.659  0.318  0.477
Nd  0.341  0.682  0.523
Dy  0.926  0.851  0.277
Dy  0.074  0.149  0.723
Hg  0.789  0.577  0.866
Hg  0.211  0.423  0.134

Summary:
- calculated formation energy (kJ/mol of formula units) = -159
- energy (eV/atom) = -3.680

No. 7
A relaxed Sr2CaO2 crystal. Source: Alexandria, functional PBE.

Cell lengths 4.596, 4.596, 7.226 Å; angles 71.46, 71.46, 90.00 degrees
Positions (direct):
Sr  0.313  0.313  0.374
Sr  0.687  0.687  0.626
Ca  0.000  0.000  0.000
O  0.750  0.250  0.500
O  0.250  0.750  0.500

Summary:
- ΔE_f (raw) (eV/atom) = -1.7755
- energy (eV/atom) = -4.832

No. 8
A relaxed Nd5Ho2Bi4 crystal. Source: Alexandria, functional PBE.

Cell lengths 4.300, 8.509, 12.297 Å; angles 115.12, 100.07, 90.00 degrees
Positions (direct):
Nd  0.099  0.730  0.198
Nd  0.901  0.270  0.802
Nd  0.173  0.362  0.347
Nd  0.500  0.000  0.000
Nd  0.827  0.638  0.653
Ho  0.291  0.925  0.582
Ho  0.709  0.075  0.418
Bi  0.694  0.676  0.387
Bi  0.964  0.690  0.928
Bi  0.306  0.324  0.613
Bi  0.036  0.310  0.072

Summary:
- calculated formation energy (kJ/mol of formula units) = -434
- energy (eV/atom) = -4.819

No. 9
A relaxed CaTc2P2 crystal. Source: Alexandria, functional PBE.

Cell lengths 4.380, 4.380, 5.487 Å; angles 66.48, 66.48, 90.00 degrees
Positions (direct):
P  0.750  0.250  0.500
P  0.250  0.750  0.500
Ca  0.000  0.000  0.000
Tc  0.371  0.371  0.258
Tc  0.629  0.629  0.742

Summary:
- calculated formation energy (kJ/mol of formula units) = -200
- energy (eV/atom) = -7.125

No. 10
A relaxed Gd2HoCd crystal. Source: Alexandria, functional PBE.

Cell lengths 3.478, 3.478, 12.303 Å; angles 81.87, 81.87, 60.00 degrees
Positions (direct):
Gd  0.089  0.089  0.733
Gd  0.911  0.911  0.267
Ho  0.500  0.500  0.500
Cd  0.000  0.000  0.000

Summary:
- calculated formation energy (kJ/mol of formula units) = 61
- energy (eV/atom) = -8.255

No. 11
A relaxed Np2GaAs3Rh4 crystal. Source: Alexandria, functional PBE.

Cell lengths 4.065, 4.065, 10.817 Å; angles 90.00, 90.00, 90.00 degrees
Positions (direct):
Np  0.500  0.000  0.248
Np  0.000  0.500  0.752
Ga  0.500  0.500  0.500
As  0.000  0.000  0.500
As  0.500  0.000  0.865
As  0.000  0.500  0.135
Rh  0.500  0.500  0.000
Rh  0.000  0.000  0.000
Rh  0.500  0.000  0.642
Rh  0.000  0.500  0.358

Summary:
- calculated formation energy (kJ/mol of formula units) = -543
- energy (eV/atom) = -7.789

No. 12
A relaxed Y2SeS crystal. Source: Alexandria, functional PBE.

Cell lengths 3.915, 3.915, 7.259 Å; angles 74.36, 74.36, 60.00 degrees
Positions (direct):
Y  0.074  0.074  0.778
Y  0.259  0.259  0.224
Se  0.499  0.499  0.504
S  0.668  0.668  0.995

Summary:
- ΔE_f (raw) (eV/atom) = -1.9022
- energy (eV/atom) = -7.037